# 1
Computed, not measured: NbGa2AgPb at its PBEsol-relaxed geometry at the meta-GGA SCAN level of DFT.

a b c (Å): 4.9643 4.9643 5.1293
angles (deg): 90.00 90.00 90.00
Closest atoms and distances in Å follow each position.
Space group P4/mmm (No. 123)
Asymmetric unit:
1 Nb 0.0000 0.0000 0.0000  4 Ga 2.48, 2 Ag 2.56
2 Ga 0.0000 0.5000 0.0000  2 Nb 2.48
3 Ag 0.0000 0.0000 0.5000  2 Nb 2.56
4 Pb 0.5000 0.5000 0.5000  4 Ag 3.51, 8 Ga 3.57

Properties
Calculated formation energy: 0.684 eV per atom

---

# 2
Computed, not measured: RbNbGa2Ag at its PBEsol-relaxed geometry at the meta-GGA SCAN level of DFT.

a b c (Å): 4.9596 4.9596 5.4326
angles (deg): 90.00 90.00 90.00
Closest atoms and distances in Å follow each position.
Space group P4/mmm (No. 123)
Asymmetric unit:
1 Rb 0.0000 0.0000 0.0000  4 Nb 3.51, 8 Ga 3.68
2 Nb 0.5000 0.5000 0.0000  2 Ag 2.72
3 Ga 0.0000 0.5000 0.5000  2 Ag 2.48
4 Ag 0.5000 0.5000 0.5000  4 Ga 2.48, 2 Nb 2.72

Properties
Calculated formation energy: 0.842 eV per atom

---

# 3
Computed, not measured: Ga2Ni2Ag at its PBEsol-relaxed geometry at the meta-GGA SCAN level of DFT.

a b c (Å): 6.9171 6.9171 2.7380
angles (deg): 90.00 90.00 90.00
Closest atoms and distances in Å follow each position.
Space group P4/mbm (No. 127)
Asymmetric unit:
1 Ga 0.1463 0.3537 0.0000  6 Ni 2.43-2.45, 2 Ag 2.65
2 Ni 0.1481 0.6481 0.5000  6 Ga 2.43-2.45
3 Ag 0.0000 0.0000 0.0000  4 Ga 2.65, 2 Ag 2.74

Properties
Calculated formation energy: -0.238 eV per atom
Relative energy among the computed polymorphs: 0 meV/atom

---

# 4
Computed, not measured: Ga2Ni2Ag at its PBEsol-relaxed geometry at the meta-GGA SCAN level of DFT.

a b c (Å): 3.6122 3.6122 10.9859
angles (deg): 90.00 90.00 90.00
Closest atoms and distances in Å follow each position.
Space group I4/mmm (No. 139)
Asymmetric unit:
1 Ga 0.0000 0.0000 0.1128  4 Ni 2.35, 1 Ga 2.48
2 Ni 0.0000 0.5000 0.2500  4 Ga 2.35, 4 Ni 2.55
3 Ag 0.0000 0.0000 0.5000  8 Ga 2.84

Properties
Calculated formation energy: -0.018 eV per atom
Relative energy among the computed polymorphs: 221 meV/atom

---

# 5
Computed, not measured: GaNiAgTe2 at its PBEsol-relaxed geometry at the meta-GGA SCAN level of DFT.

a b c (Å): 4.9339 4.9339 4.8604
angles (deg): 90.00 90.00 90.00
Closest atoms and distances in Å follow each position.
Space group P4/mmm (No. 123)
Asymmetric unit:
1 Ga 0.0000 0.0000 0.0000  8 Te 3.46, 4 Ag 3.49
2 Ni 0.5000 0.5000 0.5000  2 Ag 2.43, 4 Te 2.47
3 Ag 0.5000 0.5000 0.0000  2 Ni 2.43
4 Te 0.0000 0.5000 0.5000  2 Ni 2.47

Properties
Formation energy without anion corrections: 26.9 kJ per mole of atoms

---

# 6
Computed, not measured: YGaNi2Ag at its PBEsol-relaxed geometry at the meta-GGA SCAN level of DFT.

a b c (Å): 4.6203 4.6203 5.1060
angles (deg): 90.00 90.00 90.00
Closest atoms and distances in Å follow each position.
Space group P4/mmm (No. 123)
Asymmetric unit:
1 Y 0.0000 0.0000 0.0000  2 Ag 2.55
2 Ga 0.5000 0.5000 0.0000  4 Y 3.27, 8 Ni 3.44
3 Ni 0.0000 0.5000 0.5000  2 Ag 2.31
4 Ag 0.0000 0.0000 0.5000  4 Ni 2.31, 2 Y 2.55

Properties
Calculated formation energy: 0.805 eV per atom